# 1
The following is a GGA-PBE calculation of crystalline TlCrRu3 at its relaxed geometry, from Alexandria.

It has space group Pm-3m (No. 221), with a = 4.478 Å, b = 4.478 Å, c = 4.478 Å, α = 90.00°, β = 90.00° and γ = 90.00°. The inequivalent atoms are Tl at (0.000, 0.000, 0.000), Cr at (0.500, 0.500, 0.500) and Ru at (0.000, 0.500, 0.500).

For the formation energy from the elements, the calculation gives 1.13 eV/atom. As for the volume: 89.8 Å³/cell. As for the crystal system: cubic. The excess energy over the best structure of this formula in the dataset comes out at 0.000 eV/atom.

# 2
The following is a GGA-PBE calculation of crystalline CeYAl at its relaxed geometry, from Alexandria.

It has space group P4/nmm (No. 129, origin choice 2), with a = 4.742 Å, b = 4.742 Å, c = 7.517 Å, α = 90.00°, β = 90.00° and γ = 90.00°. The inequivalent atoms are Ce at (0.250, 0.250, 0.249), Y at (0.250, 0.250, 0.720) and Al at (0.250, 0.750, 0.000).

For the formation energy from the elements, the calculation gives 0.01 eV/atom. As for the volume: 169.0 Å³/cell. As for the crystal system: tetragonal. The excess energy over the best structure of this formula in the dataset comes out at 0.215 eV/atom.

# 3
The following is a GGA-PBE calculation of crystalline CsLiAl3 at its relaxed geometry, from Alexandria.

It has space group Pm-3m (No. 221), with a = 6.137 Å, b = 6.137 Å, c = 6.137 Å, α = 90.00°, β = 90.00° and γ = 90.00°. The inequivalent atoms are Cs at (0.000, 0.000, 0.000), Li at (0.500, 0.500, 0.500) and Al at (0.000, 0.000, 0.500).

For the formation energy from the elements, the calculation gives 1.53 eV/atom. As for the volume: 231.2 Å³/cell. As for the crystal system: cubic. The excess energy over the best structure of this formula in the dataset comes out at 0.972 eV/atom.

# 4
The following is a GGA-PBE calculation of crystalline ScPaTe2Se at its relaxed geometry, from Alexandria.

It has space group P4/nmm (No. 129, origin choice 2), with a = 4.305 Å, b = 4.305 Å, c = 14.429 Å, α = 90.00°, β = 90.00° and γ = 90.00°. The inequivalent atoms are Sc at (0.250, 0.250, 0.083), Pa at (0.250, 0.250, 0.635), Te at (0.250, 0.250, 0.288), Te at (0.250, 0.250, 0.882) and Se at (0.250, 0.750, 0.500).

As for the formation energy without anion corrections: -1.05 eV/atom. As for the volume: 267.4 Å³/cell. As for the crystal system: tetragonal.

# 5
The following is a GGA-PBE calculation of crystalline Mg2FePt at its relaxed geometry, from Alexandria.

It has space group I-4m2 (No. 119), with a = 4.004 Å, b = 4.004 Å, c = 7.900 Å, α = 90.00°, β = 90.00° and γ = 90.00°. The inequivalent atoms are Mg at (0.000, 0.000, 0.000), Mg at (0.000, 0.500, 0.250), Fe at (0.000, 0.000, 0.500) and Pt at (0.000, 0.500, 0.750).

For the formation energy from the elements, the calculation gives -0.26 eV/atom. As for the volume: 126.6 Å³/cell. As for the crystal system: tetragonal.

# 6
The following is a GGA-PBE calculation of crystalline PrHf2Sc at its relaxed geometry, from Alexandria.

It has space group R-3m (No. 166, hexagonal axes), with a = 3.2097 Å, b = 3.2097 Å, c = 34.3105 Å, α = 90.00°, β = 90.00° and γ = 120.00°. The inequivalent atoms are Pr at (0.0000, 0.0000, 0.0000), Hf at (0.0000, 0.0000, 0.0927) and Sc at (0.0000, 0.0000, 0.5000).

For the formation energy from the elements, the calculation gives 0.30 eV/atom. As for the volume: 306.1 Å³/cell. As for the crystal system: trigonal.

# 7
The following is a GGA-PBE calculation of crystalline CsErAlSe4 at its relaxed geometry, from Alexandria.

It has space group P2_1/m (No. 11), with a = 7.136 Å, b = 6.045 Å, c = 10.210 Å, α = 90.00°, β = 105.35° and γ = 90.00°. The inequivalent atoms are Cs at (0.244, 0.250, 0.044), Er at (0.252, 0.250, 0.552), Al at (0.261, 0.750, 0.342), Se at (0.007, 0.512, 0.692), Se at (0.427, 0.750, 0.575) and Se at (0.459, 0.750, 0.193).

As for the formation energy without anion corrections: -1.27 eV/atom. As for the volume: 424.7 Å³/cell. As for the crystal system: monoclinic.

# 8
The following is a GGA-PBE calculation of crystalline TaCdO2 at its relaxed geometry, from Alexandria.

It has space group R-3m (No. 166, hexagonal axes), with a = 2.9724 Å, b = 2.9724 Å, c = 23.0619 Å, α = 90.00°, β = 90.00° and γ = 120.00°. The inequivalent atoms are Ta at (0.0000, 0.0000, 0.0000), Cd at (0.0000, 0.0000, 0.5000) and O at (0.0000, 0.0000, 0.3857).

As for the formation energy without anion corrections: -1.70 eV/atom. As for the volume: 176.5 Å³/cell. As for the crystal system: trigonal.